First-principles (PBE) data for Gd2ErMg3Tl2Hg after structural relaxation, as listed in OQMD.

```
Gd2ErMg3Tl2Hg
1.0
4.615 0.000 0.000
0.000 6.499 3.785
0.000 -6.499 3.785
Er Gd Hg Mg Tl
1 2 1 3 2
Direct
0.000 0.580 0.580 Er
0.000 0.422 0.001 Gd
0.000 0.001 0.422 Gd
0.000 0.996 0.996 Hg
0.500 0.761 0.000 Mg
0.500 0.238 0.238 Mg
0.500 0.000 0.761 Mg
0.500 0.666 0.336 Tl
0.500 0.336 0.666 Tl
```

Properties
Raw total energy, eV per cell: -26.9
Symmetry: Amm2, No. 38

---

First-principles (PBE) data for AcErPu after structural relaxation, as listed in OQMD.

```
AcErPu
1.0
-4.487 0.502 3.262
-2.871 4.773 0.071
-5.082 0.227 -2.269
Ac Er Pu
1 1 1
Direct
0.000 0.000 0.000 Ac
0.500 0.500 0.500 Er
0.750 0.750 0.750 Pu
```

Properties
Raw total energy, eV per cell: -20.5
Symmetry: F-43m, No. 216
DFT formation energy, eV/f.u.: 2.29

---

First-principles (PBE) data for BeCdFeTe after structural relaxation, as listed in OQMD.

```
BeCdFeTe
1.0
3.046 -3.433 0.355
3.019 -0.048 3.475
-0.418 -3.108 3.370
Be Cd Fe Te
1 1 1 1
Direct
0.750 0.750 0.750 Be
0.000 0.000 0.000 Cd
0.250 0.250 0.250 Fe
0.500 0.500 0.500 Te
```

Properties
Raw total energy, eV per cell: -13.4
Symmetry: F-43m, No. 216

---

First-principles (PBE) data for DyYSi2W2C after structural relaxation, as listed in OQMD.

```
DyYSi2W2C
1.0
-2.753 -2.258 4.666
-4.177 -3.851 1.473
6.571 -1.944 -1.960
C Dy Si W Y
1 1 2 2 1
Direct
0.000 0.000 0.999 C
0.426 0.426 0.704 Dy
0.868 0.868 0.339 Si
0.132 0.132 0.662 Si
0.207 0.207 0.084 W
0.793 0.793 0.916 W
0.575 0.575 0.297 Y
```

Properties
Raw total energy, eV per cell: -60.9
Symmetry: Cm, No. 8

---

First-principles (PBE) data for Nd4BICl4 after structural relaxation, as listed in OQMD.

```
Nd4BICl4
1.0
-7.626 5.064 1.091
-8.349 3.094 -2.392
-1.504 -7.462 4.533
B Cl I Nd
1 4 1 4
Direct
0.500 0.500 0.000 B
0.830 0.830 0.133 Cl
0.166 0.166 0.316 Cl
0.834 0.834 0.684 Cl
0.170 0.170 0.867 Cl
0.500 0.500 0.500 I
0.650 0.650 0.087 Nd
0.999 0.999 0.203 Nd
0.001 0.001 0.797 Nd
0.350 0.350 0.913 Nd
```

Properties
Raw total energy, eV per cell: -50.2
Symmetry: C2/m, No. 12

---

First-principles (PBE) data for PmHfMg after structural relaxation, as listed in OQMD.

```
PmHfMg
1.0
0.000 3.601 3.601
3.601 0.000 3.601
3.601 3.601 0.000
Hf Mg Pm
1 1 1
Direct
0.000 0.000 0.000 Hf
0.500 0.500 0.500 Mg
0.750 0.750 0.750 Pm
```

Properties
Raw total energy, eV per cell: -13.1
Symmetry: F-43m, No. 216